VASP calculation (PBE) on an optimized crystal structure of Be2Co2Ge.

extended XYZ file:
```
10
Lattice="6.074 0.000 0.000 0.000 6.074 0.000 0.000 0.000 2.659" Properties=species:S:1:pos:R:3 pbc="T T T"
Be 0.730 2.307 0.000
Be 2.307 5.344 0.000
Be 5.344 3.767 0.000
Be 3.767 0.730 0.000
Co 5.025 1.988 1.329
Co 1.988 1.049 1.329
Co 4.086 5.025 1.329
Co 1.049 4.086 1.329
Ge 0.000 0.000 0.000
Ge 3.037 3.037 0.000
```

total DFT energy (no corrections)	-27.06	eV per formula unit
DOS(E_F)	7.03	states/eV per cell
volume	98	Å³ per cell
offset from the most stable computed form	0.000	eV/atom


VASP calculation (PBE) on an optimized crystal structure of Be2Co2Ge.

extended XYZ file:
```
5
Lattice="-1.511 2.359 2.478 -3.301 -0.294 -1.733 -3.341 -1.974 2.664" Properties=species:S:1:pos:R:3 pbc="T T T"
Co -3.629 0.709 2.757
Co -4.524 -0.618 0.652
Be -5.495 -0.131 2.419
Be -2.658 0.222 0.990
Ge 0.000 0.000 0.000
```

total DFT energy (no corrections)	-25.09	eV per formula unit
DOS(E_F)	0.44	states/eV per cell
volume	54	Å³ per cell
offset from the most stable computed form	0.395	eV/atom


Q: Which of these has the highest offset from the most stable computed form?
A: number 2


Q: Look up the volume of the second one.
A: 54 Å³ per cell


Q: Among the records above, which one has the highest volume?
A: number 1